Entry 1:
A relaxed structure of NiAgRh, computed with GGA-PBE.

abc: 6.0664 6.0664 6.0664
angles: 153.79 153.79 37.41
Fractional coordinates of all 3 atoms:
Ni (0.0000, 0.0000, 0.0000)
Ag (0.6703, 0.6703, 0.0000)
Rh (0.3584, 0.3584, 0.0000)

Output
* formation enthalpy at 0 K: 18.2 kJ per mole of atoms
* offset from the most stable computed form: 0.0 meV per atom
* DOS(E_F): 3.1 states/eV/cell



Entry 2:
A relaxed structure of NiAg3Rh, computed with GGA-PBE.

abc: 4.6689 4.6689 4.6689
angles: 90.00 90.00 90.00
Fractional coordinates of all 5 atoms:
Ni (0.0000, 0.0000, 0.0000)
Ag (0.0000, 0.0000, 0.5000)
Ag (0.0000, 0.5000, 0.0000)
Ag (0.5000, 0.0000, 0.0000)
Rh (0.5000, 0.5000, 0.5000)

Output
* formation enthalpy at 0 K: 109.4 kJ per mole of atoms
* DOS(E_F): 8.9 states/eV/cell



Entry 3:
A relaxed structure of NiAgRh2, computed with GGA-PBE.

abc: 2.7446 2.7446 7.6343
angles: 90.00 90.00 90.00
Fractional coordinates of all 4 atoms:
Ni (0.0000, 0.0000, 0.0000)
Ag (0.5000, 0.5000, 0.7454)
Rh (0.0000, 0.0000, 0.4621)
Rh (0.5000, 0.5000, 0.2221)

Output
* formation enthalpy at 0 K: 15.0 kJ per mole of atoms
* offset from the most stable computed form: 0.0 meV per atom
* DOS(E_F): 5.6 states/eV/cell



Entry 4:
A relaxed structure of NiAgRh2, computed with GGA-PBE.

abc: 2.6992 2.6992 9.1712
angles: 90.00 90.00 118.89
Fractional coordinates of all 4 atoms:
Ni (0.0000, 0.0000, 0.0000)
Ag (0.5000, 0.5000, 0.7495)
Rh (0.0000, 0.0000, 0.4779)
Rh (0.5000, 0.5000, 0.2304)

Output
* formation enthalpy at 0 K: 27.3 kJ per mole of atoms
* offset from the most stable computed form: 126.9 meV per atom
* DOS(E_F): 6.4 states/eV/cell



Entry 5:
A relaxed structure of NiAgRh2, computed with GGA-PBE.

abc: 5.6086 5.6086 5.6086
angles: 101.99 101.99 125.77
Fractional coordinates of all 8 atoms:
Ni (0.0000, 0.0000, 0.0000)
Ni (0.7500, 0.2500, 0.5000)
Ag (0.2500, 0.7500, 0.5000)
Ag (0.5000, 0.5000, 0.0000)
Rh (0.0790, 0.6250, 0.9540)
Rh (0.3750, 0.3290, 0.4540)
Rh (0.6710, 0.1250, 0.0460)
Rh (0.8750, 0.9210, 0.5460)

Output
* formation enthalpy at 0 K: 56.8 kJ per mole of atoms
* offset from the most stable computed form: 432.9 meV per atom
* DOS(E_F): 15.2 states/eV/cell



Entry 6:
A relaxed structure of NiAgRh, computed with GGA-PBE.

abc: 4.3394 4.3394 2.7102
angles: 90.00 90.00 120.00
Fractional coordinates of all 3 atoms:
Ni (0.0000, 0.0000, 0.0000)
Ag (0.6667, 0.3333, 0.5000)
Rh (0.3333, 0.6667, 0.0000)

Output
* formation enthalpy at 0 K: 31.8 kJ per mole of atoms
* offset from the most stable computed form: 140.3 meV per atom
* DOS(E_F): 4.6 states/eV/cell



Entry 7:
A relaxed structure of NiAgRh2, computed with GGA-PBE.

abc: 4.7005 4.7005 4.7746
angles: 100.53 100.53 33.93
Fractional coordinates of all 4 atoms:
Ni (0.0000, 0.0000, 0.0000)
Ag (0.7535, 0.7535, 0.2346)
Rh (0.2609, 0.2609, 0.7398)
Rh (0.5143, 0.5143, 0.5357)

Output
* formation enthalpy at 0 K: 22.8 kJ per mole of atoms
* offset from the most stable computed form: 80.1 meV per atom
* DOS(E_F): 6.7 states/eV/cell



Entry 8:
A relaxed structure of NiAgRh2, computed with GGA-PBE.

abc: 2.7703 4.5740 4.6207
angles: 90.00 90.00 90.00
Fractional coordinates of all 4 atoms:
Ni (0.0000, 0.0000, 0.0000)
Ag (0.5000, 0.5000, 0.0000)
Rh (0.0000, 0.5000, 0.5000)
Rh (0.5000, 0.0000, 0.5000)

Output
* formation enthalpy at 0 K: 32.0 kJ per mole of atoms
* offset from the most stable computed form: 175.4 meV per atom
* DOS(E_F): 6.8 states/eV/cell



Entry 9:
A relaxed structure of NiAgRh2, computed with GGA-PBE.

abc: 2.7275 2.7275 7.7123
angles: 90.00 90.00 90.00
Fractional coordinates of all 4 atoms:
Ni (0.0000, 0.0000, 0.0000)
Ag (0.0000, 0.0000, 0.5000)
Rh (0.5000, 0.5000, 0.2183)
Rh (0.5000, 0.5000, 0.7817)

Output
* formation enthalpy at 0 K: 17.7 kJ per mole of atoms
* offset from the most stable computed form: 27.1 meV per atom
* DOS(E_F): 5.0 states/eV/cell



Entry 10:
A relaxed structure of NiAgRh2, computed with GGA-PBE.

abc: 2.7181 3.7268 5.7600
angles: 90.00 90.00 90.00
Fractional coordinates of all 4 atoms:
Ni (0.0000, 0.0000, 0.0000)
Ag (0.0000, 0.0000, 0.5000)
Rh (0.5000, 0.5000, 0.2234)
Rh (0.5000, 0.5000, 0.7766)

Output
* formation enthalpy at 0 K: 25.0 kJ per mole of atoms
* offset from the most stable computed form: 102.9 meV per atom
* DOS(E_F): 6.6 states/eV/cell



Entry 11:
A relaxed structure of NiAgRh2, computed with GGA-PBE.

abc: 4.5852 4.5852 2.7906
angles: 90.00 90.00 90.00
Fractional coordinates of all 4 atoms:
Ni (0.0000, 0.0000, 0.0000)
Ag (0.5000, 0.5000, 0.0000)
Rh (0.0000, 0.5000, 0.5000)
Rh (0.5000, 0.0000, 0.5000)

Output
* formation enthalpy at 0 K: 38.5 kJ per mole of atoms
* offset from the most stable computed form: 242.7 meV per atom
* DOS(E_F): 8.1 states/eV/cell



Entry 12:
A relaxed structure of NiAgRh2, computed with GGA-PBE.

abc: 4.8144 4.8144 4.6881
angles: 102.47 102.47 33.01
Fractional coordinates of all 4 atoms:
Ni (0.0000, 0.0000, 0.0000)
Ag (0.5000, 0.5000, 0.5000)
Rh (0.2648, 0.2648, 0.7681)
Rh (0.7352, 0.7352, 0.2319)

Output
* formation enthalpy at 0 K: 20.0 kJ per mole of atoms
* offset from the most stable computed form: 51.8 meV per atom
* DOS(E_F): 6.5 states/eV/cell



Entry 13:
A relaxed structure of NiAgRh, computed with GGA-PBE.

abc: 7.2127 6.9782 2.6938
angles: 84.00 74.19 21.80
Fractional coordinates of all 3 atoms:
Ni (0.0000, 0.0000, 0.0000)
Ag (0.3327, 0.3327, 0.6673)
Rh (0.6511, 0.6511, 0.3489)

Output
* formation enthalpy at 0 K: 27.9 kJ per mole of atoms
* offset from the most stable computed form: 100.2 meV per atom
* DOS(E_F): 4.7 states/eV/cell



Entry 14:
A relaxed structure of NiAgRh2, computed with GGA-PBE.

abc: 2.7097 4.2928 5.1716
angles: 90.00 104.29 90.00
Fractional coordinates of all 4 atoms:
Ni (0.0000, 0.0000, 0.0000)
Ag (0.5000, 0.0000, 0.5000)
Rh (0.1517, 0.5000, 0.7709)
Rh (0.8483, 0.5000, 0.2291)

Output
* formation enthalpy at 0 K: 26.7 kJ per mole of atoms
* offset from the most stable computed form: 121.3 meV per atom
* DOS(E_F): 6.5 states/eV/cell



Entry 15:
A relaxed structure of NiAgRh2, computed with GGA-PBE.

abc: 3.8083 3.8083 3.9550
angles: 90.00 90.00 90.00
Fractional coordinates of all 4 atoms:
Ni (0.0000, 0.0000, 0.0000)
Ag (0.5000, 0.5000, 0.0000)
Rh (0.0000, 0.5000, 0.5000)
Rh (0.5000, 0.0000, 0.5000)

Output
* formation enthalpy at 0 K: 27.8 kJ per mole of atoms
* offset from the most stable computed form: 132.8 meV per atom
* DOS(E_F): 6.5 states/eV/cell